(1)
Computed, not measured: crystalline ScSiAu2 at its relaxed geometry at the PBE level of DFT.

The symmetry is No. 44. For the total magnetic moment, the calculation gives 0.0 μB per formula unit. The energy relative to the elements, uncorrected comes out at -159 kJ/mol of formula units. As for the volume: 72.18 Å³/f.u.

a b c (Å): 4.984 4.984 4.984
angles (deg): 133.98 123.69 75.58
Fractional positions:
1 Au 0.035 0.035 0.000
2 Au 0.760 0.260 0.500
3 Si 0.231 0.731 0.500
4 Sc 0.475 0.475 0.000

=====

(2)
Computed, not measured: crystalline Ti10Sb4H3 at its relaxed geometry at the PBE level of DFT.

The symmetry is No. 139. The calculation puts the total energy at -6.6937 eV per atom. For the total magnetic moment, the calculation gives 0.0 μB per formula unit. As for the volume: 258.70 Å³/f.u.

a b c (Å): 4.060 4.060 15.953
angles (deg): 97.31 97.31 90.00
Fractional positions:
1 Ti 0.136 0.636 0.272
2 Ti 0.931 0.931 0.862
3 Ti 0.789 0.789 0.579
4 Ti 0.864 0.364 0.728
5 Ti 0.500 0.000 0.000
6 Ti 0.364 0.864 0.728
7 Ti 0.069 0.069 0.138
8 Ti 0.636 0.136 0.272
9 Ti 0.000 0.500 0.000
10 Ti 0.211 0.211 0.421
11 H 0.866 0.866 0.733
12 H 0.000 0.000 0.000
13 H 0.134 0.134 0.267
14 Sb 0.299 0.299 0.599
15 Sb 0.432 0.432 0.864
16 Sb 0.568 0.568 0.136
17 Sb 0.701 0.701 0.401

=====

(3)
Computed, not measured: crystalline ErHfGe2O8 at its relaxed geometry at the PBE level of DFT.

The symmetry is No. 119. For the total magnetic moment, the calculation gives 1.0 μB per formula unit. The energy relative to the elements, uncorrected comes out at -2763 kJ/mol of formula units. As for the volume: 151.26 Å³/f.u.

a b c (Å): 5.822 5.822 5.822
angles (deg): 107.42 107.42 113.65
Last column: magnetic moment on the atom in μB.
Fractional positions:
1 O 0.763 0.068 0.694  0.09
2 O 0.516 0.696 0.820  0.12
3 O 0.932 0.626 0.694  0.09
4 O 0.932 0.237 0.306  0.09
5 O 0.304 0.484 0.180  0.12
6 O 0.876 0.696 0.180  0.12
7 O 0.374 0.068 0.306  0.09
8 O 0.304 0.124 0.820  0.12
9 Er 0.250 0.750 0.500  -0.01
10 Ge 0.500 0.500 0.000  -0.01
11 Ge 0.750 0.250 0.500  -0.01
12 Hf 0.000 0.000 0.000  -0.02

=====

(4)
Computed, not measured: crystalline CsGaHg2Br at its relaxed geometry at the PBE level of DFT.

The symmetry is No. 123. For the total magnetic moment, the calculation gives 0.0 μB per formula unit. The energy relative to the elements, uncorrected comes out at -75 kJ/mol of formula units. As for the volume: 256.92 Å³/f.u.

a b c (Å): 6.768 5.608 6.768
angles (deg): 90.00 90.00 90.00
Fractional positions:
1 Cs 0.500 0.500 0.500
2 Hg 0.500 0.000 0.000
3 Hg 0.000 0.000 0.500
4 Ga 0.000 0.500 0.000
5 Br 0.000 0.000 0.000